YbV4O8 | PBE with a Hubbard U | optimized geometry

Calculated density, g/cm3: 4.13
ΔE to the lowest computed polymorph, eV/f.u.: 1.37
Space-group type: P-1
Total DFT energy (no corrections), eV per cell: -196.1

Cell lengths 7.006, 7.961, 8.383 Å; angles 91.38, 112.96, 107.29 degrees
Fractional positions:
Yb1 0.138 0.375 0.219
Yb2 0.862 0.625 0.781
V1 0.297 0.481 0.631
V2 0.365 0.970 0.121
V3 0.373 0.634 0.970
V4 0.406 0.148 0.463
V5 0.594 0.852 0.537
V6 0.627 0.366 0.030
V7 0.635 0.030 0.879
V8 0.703 0.519 0.369
O1 0.139 0.551 0.731
O2 0.172 0.725 0.036
O3 0.214 0.268 0.503
O4 0.236 0.116 0.227
O5 0.358 0.628 0.479
O6 0.435 0.131 0.965
O7 0.440 0.000 0.629
O8 0.450 0.483 0.151
O9 0.550 0.517 0.849
O10 0.560 0.000 0.371
O11 0.565 0.869 0.035
O12 0.642 0.372 0.521
O13 0.764 0.884 0.773
O14 0.786 0.732 0.497
O15 0.828 0.275 0.964
O16 0.861 0.449 0.269